Density functional theory data (PBE-GGA) for crystalline Ac5Ga2RhN at its relaxed geometry.

Unit cell a=4.2582 b=9.8552 c=14.1926 alpha=90.00 beta=90.00 gamma=102.48
Positions (direct):
Ac 0.3456 0.6913 0.0036
Ac 0.6741 0.3482 0.8818
Ac 0.4904 0.9808 0.7812
Ac 0.2855 0.5710 0.6738
Ac 0.9646 0.9291 0.5189
Ac 0.6544 0.3087 0.5036
Ac 0.3259 0.6518 0.3818
Ac 0.5096 0.0192 0.2812
Ac 0.7145 0.4290 0.1738
Ac 0.0354 0.0709 0.0189
Ga 0.8623 0.7247 0.8244
Ga 0.1103 0.2206 0.6816
Ga 0.1377 0.2753 0.3244
Ga 0.8897 0.7794 0.1816
Rh 0.8027 0.6055 0.5288
Rh 0.1973 0.3945 0.0288
N 0.5458 0.0915 0.9300
N 0.4542 0.9085 0.4300

Calculated values
Its formation energy without anion corrections is -604 meV per atom. The space group is Cmc2_1, No. 36.


Density functional theory data (PBE-GGA) for crystalline CuAg3Pd3O8 at its relaxed geometry.

Unit cell a=6.3714 b=6.2441 c=9.6341 alpha=130.55 beta=89.89 gamma=120.77
Each line ends with the local moment (μB).
Positions (direct):
Cu 0.0000 0.0000 0.5000  0.55
Ag 0.0000 0.0000 0.0000  0.00
Ag 0.0000 0.5000 0.0000  0.01
Ag 0.5000 0.5000 0.0000  0.01
Pd 0.5000 0.0000 0.5000  -0.03
Pd 0.5000 0.5000 0.5000  0.03
Pd 0.0000 0.5000 0.5000  0.03
O 0.2195 0.4389 0.3329  0.01
O 0.7805 0.5611 0.6671  0.01
O 0.7435 0.4862 0.3602  0.12
O 0.2565 0.5138 0.6398  0.12
O 0.7086 0.9437 0.3333  0.04
O 0.2914 0.0563 0.6667  0.04
O 0.2344 0.9436 0.3339  0.04
O 0.7656 0.0564 0.6661  0.04

Calculated values
Its formation energy without anion corrections is -292 meV per atom. The space group is C2/m, No. 12.


Density functional theory data (PBE-GGA) for crystalline TlIr2Au at its relaxed geometry.

Unit cell a=3.0073 b=3.8583 c=5.9498 alpha=90.00 beta=90.00 gamma=90.00
Positions (direct):
Au 0.5000 0.5000 0.7500
Ir 0.0000 0.0000 0.9893
Ir 0.0000 0.0000 0.5107
Tl 0.5000 0.5000 0.2500

Calculated values
Its formation energy is 595 meV per atom. The space group is Pmmm, No. 47. Its excess energy over the best structure of this formula in the dataset is 0.210 eV/atom.


| no. | calculated density (g cm⁻³) |
| --- | --- |
| 1 | 7.95 |
| 2 | 6.42 |
| 3 | 18.90 |